[1]
This record from the Alexandria database describes a geometry-optimized Pm2Sm3YHo6 structure. The functional is PBE.

Calculated values
Crystal system   monoclinic
Size of the total moment   0.00 μB/cell
Energy relative to the elements   0.184 eV per formula unit

Geometry as CIF:
```
data_Pm2Sm3YHo6
_symmetry_space_group_name_H-M 'C 1 2/m 1'
_symmetry_Int_Tables_number 12
_symmetry_space_group_name_Hall '-C 2y'
_cell_length_a 6.200
_cell_length_b 10.734
_cell_length_c 11.808
_cell_angle_alpha 90.00
_cell_angle_beta 100.04
_cell_angle_gamma 90.00
loop_
_atom_site_label
_atom_site_fract_x
_atom_site_fract_y
_atom_site_fract_z
_atom_site_occupancy
Pm1 0.000 0.166 0.000 1
Sm1 0.000 0.000 0.500 1
Sm2 0.000 0.333 0.500 1
Y1 0.000 0.500 0.000 1
Ho1 0.250 0.000 0.250 1
Ho2 0.250 0.167 0.750 1
```

***

[2]
This record from the Alexandria database describes a geometry-optimized PmSm2Y2Ho2 structure. The functional is PBE.

Calculated values
Crystal system   monoclinic
Size of the total moment   0.00 μB/cell
Energy relative to the elements   0.121 eV per formula unit

Geometry as CIF:
```
data_PmSm2Y2Ho2
_symmetry_space_group_name_H-M 'C 1 2/m 1'
_symmetry_Int_Tables_number 12
_symmetry_space_group_name_Hall '-C 2y'
_cell_length_a 11.315
_cell_length_b 5.073
_cell_length_c 8.024
_cell_angle_alpha 90.00
_cell_angle_beta 98.09
_cell_angle_gamma 90.00
loop_
_atom_site_label
_atom_site_fract_x
_atom_site_fract_y
_atom_site_fract_z
_atom_site_occupancy
Pm1 0.000 0.000 0.000 1
Sm1 0.071 0.500 0.716 1
Y1 0.143 0.000 0.429 1
Ho1 0.215 0.500 0.143 1
```

***

[3]
This record from the Alexandria database describes a geometry-optimized PmSmY2Ho structure. The functional is PBE.

Calculated values
Crystal system   orthorhombic
Size of the total moment   0.02 μB/cell
Energy relative to the elements   2.005 eV per formula unit

Geometry as CIF:
```
data_PmSmY2Ho
_symmetry_space_group_name_H-M 'C m c m'
_symmetry_Int_Tables_number 63
_symmetry_space_group_name_Hall '-C 2c 2'
_cell_length_a 8.460
_cell_length_b 11.515
_cell_length_c 7.194
_cell_angle_alpha 90.00
_cell_angle_beta 90.00
_cell_angle_gamma 90.00
loop_
_atom_site_label
_atom_site_fract_x
_atom_site_fract_y
_atom_site_fract_z
_atom_site_occupancy
Pm1 0.000 0.004 0.250 1
Sm1 0.000 0.272 0.250 1
Y1 0.188 0.500 0.000 1
Ho1 0.000 0.274 0.750 1
```

***

[4]
This record from the Alexandria database describes a geometry-optimized PmSmHoZr structure. The functional is PBE.

Calculated values
Crystal system   cubic
Size of the total moment   7.90 μB/cell
Energy relative to the elements   0.962 eV per formula unit

Geometry as CIF:
```
data_PmSmHoZr
_symmetry_space_group_name_H-M 'F -4 3 m'
_symmetry_Int_Tables_number 216
_symmetry_space_group_name_Hall 'F -4 2 3'
_cell_length_a 7.847
_cell_length_b 7.847
_cell_length_c 7.847
_cell_angle_alpha 90.00
_cell_angle_beta 90.00
_cell_angle_gamma 90.00
loop_
_atom_site_label
_atom_site_fract_x
_atom_site_fract_y
_atom_site_fract_z
_atom_site_occupancy
Pm1 0.000 0.000 0.000 1
Sm1 0.250 0.250 0.750 1
Ho1 0.000 0.000 0.500 1
Zr1 0.250 0.250 0.250 1
```

***

[5]
This record from the Alexandria database describes a geometry-optimized Pm3Ho5Sn2 structure. The functional is PBE.

Calculated values
Crystal system   orthorhombic
Size of the total moment   0.00 μB/cell
Energy relative to the elements   -0.850 eV per formula unit

Geometry as CIF:
```
data_Pm3Ho5Sn2
_symmetry_space_group_name_H-M 'I b a m'
_symmetry_Int_Tables_number 72
_symmetry_space_group_name_Hall '-I 2 2c'
_cell_length_a 12.798
_cell_length_b 15.608
_cell_length_c 6.389
_cell_angle_alpha 90.00
_cell_angle_beta 90.00
_cell_angle_gamma 90.00
loop_
_atom_site_label
_atom_site_fract_x
_atom_site_fract_y
_atom_site_fract_z
_atom_site_occupancy
Pm1 0.000 0.000 0.250 1
Pm2 0.126 0.223 0.000 1
Ho1 0.000 0.500 0.250 1
Ho2 0.101 0.336 0.500 1
Ho3 0.247 0.500 0.250 1
Sn1 0.141 0.148 0.500 1
```

***

[6]
This record from the Alexandria database describes a geometry-optimized PmHo2Sn structure. The functional is PBE.

Calculated values
ΔE to the lowest computed polymorph   120 meV per atom
Crystal system   tetragonal
Size of the total moment   0.00 μB/cell
Energy relative to the elements   -1.195 eV per formula unit

Geometry as CIF:
```
data_PmHo2Sn
_symmetry_space_group_name_H-M 'P 4/m m m'
_symmetry_Int_Tables_number 123
_symmetry_space_group_name_Hall '-P 4 2'
_cell_length_a 3.770
_cell_length_b 3.770
_cell_length_c 8.418
_cell_angle_alpha 90.00
_cell_angle_beta 90.00
_cell_angle_gamma 90.00
loop_
_atom_site_label
_atom_site_fract_x
_atom_site_fract_y
_atom_site_fract_z
_atom_site_occupancy
Pm1 0.000 0.000 0.000 1
Ho1 0.500 0.500 0.284 1
Sn1 0.000 0.000 0.500 1
```

***

Which value of energy relative to the elements does entry 6 give? -1.195 eV per formula unit

***

Which value of size of the total moment does entry 3 give? 0.02 μB/cell

***

What is the energy relative to the elements in the second record? 0.121 eV per formula unit

***

What did the second record say?
This record from the Alexandria database describes a geometry-optimized PmSm2Y2Ho2 structure. The functional is PBE.

Calculated values
Crystal system   monoclinic
Size of the total moment   0.00 μB/cell
Energy relative to the elements   0.121 eV per formula unit

Geometry as CIF:
```
data_PmSm2Y2Ho2
_symmetry_space_group_name_H-M 'C 1 2/m 1'
_symmetry_Int_Tables_number 12
_symmetry_space_group_name_Hall '-C 2y'
_cell_length_a 11.315
_cell_length_b 5.073
_cell_length_c 8.024
_cell_angle_alpha 90.00
_cell_angle_beta 98.09
_cell_angle_gamma 90.00
loop_
_atom_site_label
_atom_site_fract_x
_atom_site_fract_y
_atom_site_fract_z
_atom_site_occupancy
Pm1 0.000 0.000 0.000 1
Sm1 0.071 0.500 0.716 1
Y1 0.143 0.000 0.429 1
Ho1 0.215 0.500 0.143 1
```